Material: Rb2Cu3P4O14
Method: DFT, PBEsol
State: relaxed

- total DFT energy (no corrections) (eV per cell) = -306.8
- formation energy from raw total energies (eV/atom) = -1.8137
- space group = P2_1/c, No. 14

Geometry as extended XYZ:
```
46
Lattice="7.694 0.000 0.000 0.000 10.766 0.000 -1.869 0.000 7.504" Properties=species:S:1:pos:R:3 pbc="T T T"
Rb 1.840 2.023 0.318
Rb 0.906 3.360 4.070
Rb 4.919 7.406 3.434
Rb 3.985 8.743 7.186
Cu 1.342 6.483 1.735
Cu 0.407 9.667 5.487
Cu 2.913 0.000 3.752
Cu 3.847 5.383 0.000
Cu 5.418 1.099 2.017
Cu 4.483 4.284 5.769
P -0.672 5.911 6.245
P 0.262 10.239 2.494
P 1.686 7.112 4.921
P 2.620 9.037 1.170
P 3.205 1.729 6.334
P 4.139 3.654 2.582
P 5.563 0.528 5.010
P 6.497 4.856 1.258
O -1.046 0.047 5.978
O -0.112 5.336 2.226
O -1.235 6.685 7.436
O -0.301 9.464 3.684
O 0.118 7.010 5.339
O 1.053 9.140 1.587
O 1.282 0.566 2.835
O 0.348 4.818 6.587
O 1.907 6.454 3.575
O 0.973 9.696 7.327
O 2.889 7.522 1.182
O 1.955 8.628 4.934
O 2.344 1.040 5.265
O 3.278 4.343 1.513
O 2.547 6.423 5.990
O 3.481 9.726 2.238
O 3.870 2.139 2.570
O 2.936 3.244 6.322
O 4.852 1.070 0.177
O 3.918 4.313 3.928
O 5.477 5.949 0.917
O 4.543 10.201 4.669
O 4.772 1.627 5.917
O 5.707 3.756 2.165
O 6.126 1.302 3.819
O 7.060 4.081 0.067
O 5.937 5.431 5.278
O 6.871 10.719 1.526
```